(1)
A PBEsol-optimized structure of ScHg2As, computed with meta-GGA SCAN.

Computed properties:
* energy relative to the elements: -232.9 meV/atom
* calculated total energy: -42.923 eV per atom
* size of the total moment: 0.0 Bohr magnetons per cell
* calculated volume: 82.4 Å³/cell

Cell: 3.8194 3.8194 5.6491 Å, 90.00 90.00 90.00°
Closest atoms and distances in Å follow each position.
Space group P4/mmm (No. 123)
Asymmetric unit:
Sc (0.0000, 0.0000, 0.0000) x1  2 As 2.82, 8 Hg 3.05
Hg (0.5000, 0.5000, 0.2510) x2  2 Hg 2.81-2.84, 4 As 3.04, 4 Sc 3.05
As (0.0000, 0.0000, 0.5000) x1  2 Sc 2.82, 8 Hg 3.04

(2)
A PBEsol-optimized structure of ScHgAs2, computed with meta-GGA SCAN.

Computed properties:
* energy relative to the elements: -302.8 meV/atom
* calculated total energy: -30.999 eV per atom
* E above lowest polymorph: 225.8 meV per atom
* size of the total moment: 0.0 Bohr magnetons per cell
* calculated volume: 332.2 Å³/cell

Cell: 7.4097 7.4097 6.0497 Å, 90.00 90.00 90.00°
Closest atoms and distances in Å follow each position.
Space group I-42d (No. 122)
Asymmetric unit:
Sc (0.0000, 0.0000, 0.0000) x4  4 As 2.73, 2 Hg 3.02
Hg (0.0000, 0.0000, 0.5000) x4  4 As 2.72, 2 Sc 3.02
As (0.2492, 0.7500, 0.6250) x8  2 Hg 2.72, 2 Sc 2.73, 2 As 3.02

(3)
A PBEsol-optimized structure of ScHgAs2, computed with meta-GGA SCAN.

Computed properties:
* energy relative to the elements: -528.6 meV/atom
* calculated total energy: -31.225 eV per atom
* E above lowest polymorph: 0.0 meV per atom
* size of the total moment: 0.0 Bohr magnetons per cell
* calculated volume: 81.6 Å³/cell

Cell: 3.6332 3.6525 6.1488 Å, 90.00 90.00 90.00°
Closest atoms and distances in Å follow each position.
Space group Pmmm (No. 47)
Asymmetric unit:
Sc (0.0000, 0.0000, 0.0000) x1  8 As 2.86, 2 Hg 3.07
Hg (0.0000, 0.0000, 0.5000) x1  2 Sc 3.07, 8 As 3.16
As (0.5000, 0.5000, 0.2010) x2  1 As 2.47

(4)
A PBEsol-optimized structure of ScHg2As, computed with meta-GGA SCAN.

Computed properties:
* energy relative to the elements: -446.4 meV/atom
* calculated total energy: -43.136 eV per atom
* size of the total moment: 0.0 Bohr magnetons per cell
* calculated volume: 81.4 Å³/cell

Cell: 4.0202 4.0202 5.0350 Å, 90.00 90.00 90.00°
Closest atoms and distances in Å follow each position.
Space group P4/mmm (No. 123)
Asymmetric unit:
Sc (0.0000, 0.0000, 0.0000) x1  4 As 2.84
Hg (0.0000, 0.5000, 0.5000) x2  4 Hg 2.84
As (0.5000, 0.5000, 0.0000) x1  4 Sc 2.84

(5)
A PBEsol-optimized structure of ScHg2As, computed with meta-GGA SCAN.

Computed properties:
* energy relative to the elements: -305.8 meV/atom
* calculated total energy: -42.996 eV per atom
* size of the total moment: 0.0 Bohr magnetons per cell
* calculated volume: 165.0 Å³/cell

Cell: 3.9886 4.5136 9.1641 Å, 90.00 90.00 90.00°
Closest atoms and distances in Å follow each position.
Space group Imm2 (No. 44)
Asymmetric unit:
Sc (0.0000, 0.0000, 0.0000) x2  2 As 2.79, 6 Hg 3.01-3.03
Hg (0.0000, 0.0000, 0.4874) x2  4 Sc 3.01, 4 As 3.06-3.21, 4 Hg 3.12-3.14
Hg (0.0000, 0.5000, 0.2516) x2  4 Sc 3.03-3.23, 4 As 3.03, 4 Hg 3.12-3.14
As (0.0000, 0.5000, 0.7132) x2  2 Sc 2.79, 6 Hg 3.03-3.06

(6)
A PBEsol-optimized structure of Sc2HgAs, computed with meta-GGA SCAN.

Computed properties:
* energy relative to the elements: -991.6 meV/atom
* calculated total energy: -30.199 eV per atom
* E above lowest polymorph: 0.0 meV per atom
* size of the total moment: 0.0 Bohr magnetons per cell
* calculated volume: 257.6 Å³/cell

Cell: 3.7071 3.7071 21.6481 Å, 90.00 90.00 120.00°
Closest atoms and distances in Å follow each position.
Space group R-3m (No. 166, hexagonal axes)
Asymmetric unit:
Sc (0.0000, 0.0000, 0.2382) x6  3 As 2.64
Hg (0.0000, 0.0000, 0.0000) x3  6 Sc 2.97
As (0.0000, 0.0000, 0.5000) x3  6 Sc 2.64

(7)
A PBEsol-optimized structure of HgAs2Se, computed with meta-GGA SCAN.

Computed properties:
* calculated total energy: -31.941 eV per atom
* E above lowest polymorph: 0.0 meV per atom
* size of the total moment: 0.0 Bohr magnetons per cell
* calculated volume: 254.3 Å³/cell

Cell: 3.8630 3.8630 19.6755 Å, 90.00 90.00 120.00°
Closest atoms and distances in Å follow each position.
Space group R-3m (No. 166, hexagonal axes)
Asymmetric unit:
Hg (0.0000, 0.0000, 0.0000) x3  6 As 2.79
As (0.0000, 0.0000, 0.2482) x6  3 Se 2.75, 3 Hg 2.79
Se (0.0000, 0.0000, 0.5000) x3  6 As 2.75

(8)
A PBEsol-optimized structure of HgAs4Se, computed with meta-GGA SCAN.

Computed properties:
* calculated total energy: -27.654 eV per atom
* size of the total moment: 0.0 Bohr magnetons per cell
* calculated volume: 504.6 Å³/cell

Cell: 7.9615 7.9615 7.9615 Å, 90.00 90.00 90.00°
Closest atoms and distances in Å follow each position.
Space group F-43m (No. 216)
Asymmetric unit:
Hg (0.0000, 0.0000, 0.0000) x4  12 As 3.33, 4 Se 3.45
As (0.1149, 0.1149, 0.3851) x16  3 As 2.59
Se (0.2500, 0.2500, 0.7500) x4  12 As 3.28, 4 Hg 3.45

(9)
A PBEsol-optimized structure of HgAs2Se, computed with meta-GGA SCAN.

Computed properties:
* calculated total energy: -31.894 eV per atom
* E above lowest polymorph: 46.4 meV per atom
* size of the total moment: 0.0 Bohr magnetons per cell
* calculated volume: 172.4 Å³/cell

Cell: 3.6371 4.0151 11.8064 Å, 90.00 90.00 90.00°
Closest atoms and distances in Å follow each position.
Space group Imm2 (No. 44)
Asymmetric unit:
Hg (0.0000, 0.0000, 0.0000) x2  4 As 2.88, 2 Se 2.99
As (0.0000, 0.0000, 0.5826) x2  2 As 2.61, 4 Hg 2.88
As (0.0000, 0.5000, 0.2409) x2  2 As 2.61, 4 Se 2.84
Se (0.0000, 0.5000, 0.8119) x2  4 As 2.84, 2 Hg 2.99

(10)
A PBEsol-optimized structure of HgAs2Se, computed with meta-GGA SCAN.

Computed properties:
* calculated total energy: -31.683 eV per atom
* E above lowest polymorph: 257.4 meV per atom
* size of the total moment: 0.0 Bohr magnetons per cell
* calculated volume: 162.0 Å³/cell

Cell: 3.3391 5.2157 9.3027 Å, 90.00 90.00 90.00°
Closest atoms and distances in Å follow each position.
Space group Cmmm (No. 65)
Asymmetric unit:
Hg (0.0000, 0.0000, 0.0000) x2  4 As 3.05, 6 Hg 3.10-3.34
As (0.0000, 0.5000, 0.2745) x4  2 Se 2.68
Se (0.0000, 0.0000, 0.5000) x2  4 As 2.68

(11)
A PBEsol-optimized structure of HgAs2Se, computed with meta-GGA SCAN.

Computed properties:
* calculated total energy: -31.765 eV per atom
* E above lowest polymorph: 175.7 meV per atom
* size of the total moment: 0.0 Bohr magnetons per cell
* calculated volume: 90.0 Å³/cell

Cell: 3.6170 3.6170 6.8788 Å, 90.00 90.00 90.00°
Closest atoms and distances in Å follow each position.
Space group P4/mmm (No. 123)
Asymmetric unit:
Hg (0.0000, 0.0000, 0.0000) x1  8 As 3.38, 2 Se 3.44, 4 Hg 3.62
As (0.5000, 0.5000, 0.3210) x2  1 As 2.46
Se (0.0000, 0.0000, 0.5000) x1  8 As 2.84

(12)
A PBEsol-optimized structure of HgAs2Se, computed with meta-GGA SCAN.

Computed properties:
* calculated total energy: -31.610 eV per atom
* E above lowest polymorph: 330.7 meV per atom
* size of the total moment: 0.0 Bohr magnetons per cell
* calculated volume: 317.0 Å³/cell

Cell: 6.8187 6.8187 6.8187 Å, 90.00 90.00 90.00°
Closest atoms and distances in Å follow each position.
Space group Fm-3m (No. 225)
Asymmetric unit:
Hg (0.0000, 0.0000, 0.0000) x4  8 As 2.95
As (0.2500, 0.2500, 0.2500) x8  4 Se 2.95, 4 Hg 2.95
Se (0.0000, 0.0000, 0.5000) x4  8 As 2.95